No. 1
VASP calculation (GGA-PBE) on crystalline GaPb3Au at its relaxed geometry.

Output
As for the uncorrected energy: -3.01 eV per atom. The calculation puts the energy above the most stable polymorph in this dataset at 0.092 eV per atom. Its density of states at the Fermi level is 1.553 states/eV/cell.

a = 5.457 Å, b = 5.457 Å, c = 5.457 Å
α = 90.00°, β = 90.00°, γ = 90.00°
Space group Pm-3m (No. 221)
Unique sites:
1 Ga 0.000 0.000 0.000 [1 per cell]
2 Pb 0.000 0.000 0.500 [3 per cell]
3 Au 0.500 0.500 0.500 [1 per cell]

No. 2
VASP calculation (GGA-PBE) on crystalline GaPb2Au3 at its relaxed geometry.

Output
As for the uncorrected energy: -3.49 eV per atom. Its density of states at the Fermi level is 5.174 states/eV/cell.

a = 12.526 Å, b = 7.001 Å, c = 6.400 Å
α = 90.00°, β = 90.00°, γ = 90.00°
Space group Cmc2_1 (No. 36)
Unique sites:
1 Ga 0.000 0.216 0.000 [4 per cell]
2 Pb 0.180 0.340 0.624 [8 per cell]
3 Au 0.000 0.439 0.330 [4 per cell]
4 Au 0.117 0.046 0.309 [8 per cell]

No. 3
VASP calculation (GGA-PBE) on crystalline GaPbAu at its relaxed geometry.

Output
As for the uncorrected energy: -3.45 eV per atom. Its density of states at the Fermi level is 4.817 states/eV/cell.

a = 8.977 Å, b = 7.874 Å, c = 4.469 Å
α = 90.00°, β = 119.38°, γ = 90.00°
Space group C2 (No. 5)
Unique sites:
1 Ga 0.181 0.000 0.180 [4 per cell]
2 Pb 0.000 0.401 0.000 [2 per cell]
3 Pb 0.000 0.772 0.500 [2 per cell]
4 Au 0.195 0.182 0.694 [4 per cell]

No. 4
VASP calculation (GGA-PBE) on crystalline GaPbAu at its relaxed geometry.

Output
As for the uncorrected energy: -3.38 eV per atom. Its density of states at the Fermi level is 2.084 states/eV/cell.

a = 3.436 Å, b = 3.436 Å, c = 11.586 Å
α = 90.00°, β = 90.00°, γ = 90.00°
Space group I4mm (No. 107)
Unique sites:
1 Ga 0.000 0.000 0.000 [2 per cell]
2 Pb 0.000 0.000 0.697 [2 per cell]
3 Au 0.000 0.000 0.388 [2 per cell]

No. 5
VASP calculation (GGA-PBE) on crystalline GaPbAu at its relaxed geometry.

Output
As for the uncorrected energy: -3.46 eV per atom. Its density of states at the Fermi level is 2.491 states/eV/cell.

a = 4.421 Å, b = 5.772 Å, c = 6.251 Å
α = 78.68°, β = 69.38°, γ = 67.78°
Space group P-1 (No. 2)
Unique sites:
1 Ga 0.152 0.264 0.431 [2 per cell]
2 Pb 0.430 0.298 0.842 [2 per cell]
3 Au 0.174 0.883 0.770 [2 per cell]

No. 6
VASP calculation (GGA-PBE) on crystalline GaPbAu at its relaxed geometry.

Output
As for the uncorrected energy: -3.41 eV per atom. Its density of states at the Fermi level is 2.572 states/eV/cell.

a = 4.250 Å, b = 4.255 Å, c = 8.168 Å
α = 104.07°, β = 104.12°, γ = 90.20°
Space group P1 (No. 1)
Unique sites:
1 Ga 0.000 0.000 0.000 [1 per cell]
2 Ga 0.500 0.499 0.000 [1 per cell]
3 Pb 0.320 0.819 0.646 [1 per cell]
4 Pb 0.681 0.182 0.354 [1 per cell]
5 Au 0.126 0.628 0.242 [1 per cell]
6 Au 0.875 0.373 0.758 [1 per cell]

No. 7
VASP calculation (GGA-PBE) on crystalline Ga2PbAu2 at its relaxed geometry.

Output
As for the uncorrected energy: -3.40 eV per atom. The calculation puts the energy above the most stable polymorph in this dataset at 0.020 eV per atom. Its density of states at the Fermi level is 3.196 states/eV/cell.

a = 4.605 Å, b = 4.605 Å, c = 10.242 Å
α = 90.00°, β = 90.00°, γ = 90.00°
Space group I4/mmm (No. 139)
Unique sites:
1 Ga 0.000 0.000 0.124 [4 per cell]
2 Pb 0.000 0.000 0.500 [2 per cell]
3 Au 0.000 0.500 0.250 [4 per cell]

No. 8
VASP calculation (GGA-PBE) on crystalline GaPbAu at its relaxed geometry.

Output
As for the uncorrected energy: -3.38 eV per atom. Its density of states at the Fermi level is 5.253 states/eV/cell.

a = 8.781 Å, b = 4.465 Å, c = 7.635 Å
α = 90.00°, β = 90.00°, γ = 90.00°
Space group Pnma (No. 62)
Unique sites:
1 Ga 0.008 0.250 0.239 [4 per cell]
2 Pb 0.195 0.750 0.459 [4 per cell]
3 Au 0.102 0.750 0.081 [4 per cell]

Record-wise formation energy values, in eV per atom: 0.4716; -0.1096; -0.1149; -0.0412; -0.1180; -0.0750; -0.1348; -0.0455